1.
Density functional theory data (GGA-PBE) for a geometry-optimized Ce2PaTcC4 structure.

Cell lengths 3.4886, 6.1489, 12.2810 Å; angles 90.00, 90.00, 106.48 degrees
Element x y z (fractional)
Tc 0.8486 0.6972 0.7500
Ce 0.3652 0.7305 0.9578
C 0.7258 0.4517 0.8605
C 0.2742 0.5483 0.1395
C 0.5511 0.1023 0.2500
C 0.0000 0.0000 0.5000
Pa 0.1089 0.2177 0.7500
C 0.7258 0.4517 0.6395
C 0.2742 0.5483 0.3605
Tc 0.1514 0.3028 0.2500
Ce 0.3652 0.7305 0.5422
Pa 0.8911 0.7823 0.2500
C 0.0000 0.0000 0.0000
Ce 0.6348 0.2695 0.4578
Ce 0.6348 0.2695 0.0422
C 0.4489 0.8977 0.7500

## Properties
* electronic total energy: -68.6 eV/f.u.
* energy relative to the elements: 0.004 eV/atom
* density of states at the Fermi level: 18.664 states/eV per cell


2.
Density functional theory data (GGA-PBE) for a geometry-optimized Ac2La5TbPm structure.

Cell lengths 5.6946, 11.7328, 10.6456 Å; angles 90.00, 90.00, 104.04 degrees
Element x y z (fractional)
Ac 0.8850 0.7700 0.7713
La 0.2774 0.5549 0.6974
La 0.5000 0.0001 0.2584
La 0.9960 0.9920 0.5084
La 0.2776 0.5552 0.3186
La 0.0040 0.0080 0.0084
La 0.3776 0.7552 0.0083
Ac 0.1150 0.2300 0.2713
La 0.7224 0.4448 0.8186
Pm 0.7846 0.5691 0.5080
Ac 0.8851 0.7703 0.2453
Pm 0.2154 0.4309 0.0080
La 0.7226 0.4451 0.1974
La 0.5000 0.9999 0.7584
Tb 0.3972 0.7945 0.5083
La 0.6224 0.2448 0.5083
Tb 0.6028 0.2055 0.0083
Ac 0.1149 0.2297 0.7453

## Properties
* electronic total energy: -41.3 eV/f.u.
* energy relative to the elements: 0.100 eV/atom
* density of states at the Fermi level: 27.123 states/eV per cell


3.
Density functional theory data (GGA-PBE) for a geometry-optimized LiYCl3 structure.

Cell lengths 6.4381, 6.5075, 7.3177 Å; angles 62.90, 70.01, 65.29 degrees
Element x y z (fractional)
Cl 0.5899 0.9143 0.2404
Cl 0.7564 0.4481 0.7133
Y 0.6443 0.6409 0.0143
Y 0.3557 0.3591 0.9857
Cl 0.4101 0.0857 0.7596
Cl 0.2436 0.5519 0.2867
Li 0.1066 0.1773 0.5761
Cl 0.0458 0.7684 0.7510
Li 0.8934 0.8227 0.4239
Cl 0.9542 0.2316 0.2490

## Properties
* energy relative to the elements, uncorrected: -1.84 eV/atom
* electronic total energy: -23.1 eV/f.u.
* density of states at the Fermi level: 0.009 states/eV per cell
* ΔE to the lowest computed polymorph: 0.000 eV/atom


> The lowest density of states at the Fermi level belongs to which entry?

LiYCl3


> Which of these has the lowest electronic total energy?

Ce2PaTcC4